1.
Pa2TeSe: relaxed, GGA-PBE.

Computed properties:
- Formation energy from raw total energies: -0.78 eV/atom
- ΔE to the lowest computed polymorph: 0.537 eV/f.u.

Lattice parameters (Å, degrees): 3.636 3.636 7.300 90.00 90.00 90.00
Sites, in units of the cell vectors:
Pa  0.000  0.000  0.239
Pa  0.000  0.000  0.761
Te  0.500  0.500  0.500
Se  0.500  0.500  0.000

=====

2.
Pa2Te2Se: relaxed, GGA-PBE.

Computed properties:
- Formation energy from raw total energies: -0.93 eV/atom

Lattice parameters (Å, degrees): 4.036 6.076 12.569 90.00 90.00 90.00
Sites, in units of the cell vectors:
Pa  0.000  0.000  0.162
Pa  0.000  0.000  0.838
Pa  0.500  0.500  0.338
Pa  0.500  0.500  0.662
Te  0.000  0.500  0.150
Te  0.000  0.500  0.850
Te  0.500  0.000  0.350
Te  0.500  0.000  0.650
Se  0.000  0.500  0.500
Se  0.500  0.000  0.000